Zr2BeAuN | GGA-PBEsol | relaxed

Cell lengths 3.4704, 4.5669, 4.5669 Å; angles 90.00, 90.00, 90.00 degrees
With the nearest neighbours (Å) after each atom.
Sites, in units of the cell vectors:
Be (0.5000, 0.0000, 0.0000)  2 N 1.74
Au (0.5000, 0.5000, 0.5000)  8 Zr 2.87
Zr (0.0000, 0.0000, 0.5000)  2 N 2.28
Zr (0.0000, 0.5000, 0.0000)  2 N 2.28
N (0.0000, 0.0000, 0.0000)  2 Be 1.74

Properties
**Size of the total moment**: 0.00 μB/cell
**Total energy**: -0.287 Ha/atom
**Formation energy without anion corrections**: -887.7 meV per atom
**Symmetry**: No. 123

FeCo2AgPb | GGA-PBEsol | relaxed

Cell lengths 4.6978, 4.6978, 4.7961 Å; angles 90.00, 90.00, 90.00 degrees
With the nearest neighbours (Å) after each atom.
Sites, in units of the cell vectors:
Pb (0.0000, 0.0000, 0.0000)  4 Co 2.35, 2 Fe 2.40
Co (0.0000, 0.5000, 0.0000)  2 Pb 2.35
Co (0.5000, 0.0000, 0.0000)  2 Pb 2.35
Fe (0.0000, 0.0000, 0.5000)  2 Pb 2.40
Ag (0.5000, 0.5000, 0.5000)  4 Fe 3.32, 8 Co 3.36

Properties
**Size of the total moment**: 5.73 μB/cell
**Total energy**: -0.167 Ha/atom
**Symmetry**: No. 123

La3Tc | GGA-PBEsol | relaxed

Cell lengths 3.9979, 7.9585, 7.9585 Å; angles 106.73, 90.00, 90.00 degrees
With the nearest neighbours (Å) after each atom.
Sites, in units of the cell vectors:
Tc (0.2500, 0.7427, 0.2573)  6 La 2.68-2.97
Tc (0.7500, 0.2573, 0.7427)  6 La 2.68-2.97
La (0.2500, 0.1176, 0.8824)  2 Tc 2.68
La (0.7500, 0.8824, 0.1176)  2 Tc 2.68
La (0.2500, 0.1857, 0.4542)  2 Tc 2.97
La (0.7500, 0.8143, 0.5458)  2 Tc 2.97
La (0.7500, 0.4542, 0.1857)  2 Tc 2.97
La (0.2500, 0.5458, 0.8143)  2 Tc 2.97

Properties
**Size of the total moment**: 0.00 μB/cell
**Total energy**: -0.248 Ha/atom
**Symmetry**: No. 63

Zr2TaTl | GGA-PBEsol | relaxed

Cell lengths 3.0568, 5.3824, 5.3943 Å; angles 111.73, 90.00, 90.00 degrees
With the nearest neighbours (Å) after each atom.
Sites, in units of the cell vectors:
Ta (0.5000, 0.5000, 0.0000)  6 Zr 3.02-3.09, 2 Ta 3.06, 4 Tl 3.10
Tl (0.0000, 0.5000, 0.5000)  6 Zr 3.02-3.09, 2 Tl 3.06, 4 Ta 3.10
Zr (0.0000, 0.0000, 0.0000)  2 Tl 3.02, 6 Zr 3.06-3.10, 4 Ta 3.09
Zr (0.5000, 0.0000, 0.5000)  2 Ta 3.02, 6 Zr 3.06-3.10, 4 Tl 3.09

Properties
**Size of the total moment**: 0.00 μB/cell
**Total energy**: -0.301 Ha/atom
**E above lowest polymorph**: 18.78 kJ per mole of atoms
**Symmetry**: No. 10

LiReBr | GGA-PBEsol | relaxed

Cell lengths 2.9339, 2.9779, 6.6642 Å; angles 83.77, 77.28, 60.49 degrees
With the nearest neighbours (Å) after each atom.
Sites, in units of the cell vectors:
Re (0.3365, 0.0000, 0.3271)  2 Br 2.58, 2 Li 2.68
Br (0.9994, 0.0000, 0.0013)  2 Re 2.58, 2 Li 2.60
Li (0.6642, 0.0000, 0.6717)  2 Br 2.60, 2 Re 2.68

Properties
**Size of the total moment**: 0.12 μB/cell
**Total energy**: -0.185 Ha/atom
**Formation energy without anion corrections**: 697.1 meV per atom
**Symmetry**: No. 42

Mg2Be2Si | GGA-PBEsol | relaxed

Cell lengths 4.0345, 5.9654, 5.9654 Å; angles 90.00, 90.00, 90.00 degrees
With the nearest neighbours (Å) after each atom.
Sites, in units of the cell vectors:
Be (0.0000, 0.3725, 0.8725)  1 Be 2.15, 2 Si 2.35
Be (0.0000, 0.8725, 0.6275)  1 Be 2.15, 2 Si 2.35
Be (0.0000, 0.6275, 0.1275)  1 Be 2.15, 2 Si 2.35
Be (0.0000, 0.1275, 0.3725)  1 Be 2.15, 2 Si 2.35
Si (0.0000, 0.0000, 0.0000)  4 Be 2.35
Si (0.0000, 0.5000, 0.5000)  4 Be 2.35
Mg (0.5000, 0.1704, 0.6704)  6 Be 2.64-2.70, 1 Mg 2.87
Mg (0.5000, 0.6704, 0.8296)  6 Be 2.64-2.70, 1 Mg 2.87
Mg (0.5000, 0.8296, 0.3296)  6 Be 2.64-2.70, 1 Mg 2.87
Mg (0.5000, 0.3296, 0.1704)  6 Be 2.64-2.70, 1 Mg 2.87

Properties
**Size of the total moment**: 0.00 μB/cell
**Total energy**: -0.121 Ha/atom
**Formation energy without anion corrections**: 133.9 meV per atom
**Symmetry**: No. 127

Mn3Co3Te2O12 | GGA-PBEsol | relaxed

Cell lengths 6.1496, 6.1496, 6.1496 Å; angles 88.25, 88.25, 88.25 degrees
With the nearest neighbours (Å) after each atom.
Sites, in units of the cell vectors:
Mn (0.9593, 0.4240, 0.2473)  5 O 1.99-2.12
Mn (0.2473, 0.9593, 0.4240)  5 O 1.99-2.12
Mn (0.4240, 0.2473, 0.9593)  5 O 1.99-2.12
Co (0.5524, 0.7335, 0.0381)  4 O 1.95-2.06
Co (0.0381, 0.5524, 0.7335)  4 O 1.95-2.06
Co (0.7335, 0.0381, 0.5524)  4 O 1.95-2.06
Te (0.5005, 0.5005, 0.5005)  6 O 1.94-1.97
Te (0.9840, 0.9840, 0.9840)  3 O 2.00
O (0.4343, 0.1986, 0.5674)  1 Te 1.94, 1 Co 2.06, 1 Mn 2.12
O (0.5674, 0.4343, 0.1986)  1 Te 1.94, 1 Co 2.06, 1 Mn 2.12
O (0.1986, 0.5674, 0.4343)  1 Te 1.94, 1 Co 2.06, 1 Mn 2.12
O (0.5483, 0.8137, 0.4502)  1 Co 1.95, 1 Te 1.97, 1 Mn 2.04
O (0.4502, 0.5483, 0.8137)  1 Co 1.95, 1 Te 1.97, 1 Mn 2.04
O (0.8137, 0.4502, 0.5483)  1 Co 1.95, 1 Te 1.97, 1 Mn 2.04
O (0.3438, 0.9702, 0.1109)  1 Co 1.96, 2 Mn 1.99-2.00
O (0.1109, 0.3438, 0.9702)  1 Co 1.96, 2 Mn 1.99-2.00
O (0.9702, 0.1109, 0.3438)  1 Co 1.96, 2 Mn 1.99-2.00
O (0.6886, 0.0620, 0.8717)  1 Co 1.98, 1 Te 2.00, 1 Mn 2.03
O (0.8717, 0.6886, 0.0620)  1 Co 1.98, 1 Te 2.00, 1 Mn 2.03
O (0.0620, 0.8717, 0.6886)  1 Co 1.98, 1 Te 2.00, 1 Mn 2.03

Properties
**Size of the total moment**: 21.71 μB/cell
**Total energy**: -0.261 Ha/atom
**Formation energy without anion corrections**: -976.2 meV per atom
**Symmetry**: No. 146

TaTeSeN2 | GGA-PBEsol | relaxed

Cell lengths 4.0348, 4.0348, 5.3553 Å; angles 90.00, 90.00, 90.00 degrees
With the nearest neighbours (Å) after each atom.
Sites, in units of the cell vectors:
N (0.0000, 0.5000, 0.0000)  2 Ta 2.02
N (0.5000, 0.0000, 0.0000)  2 Ta 2.02
Te (0.5000, 0.5000, 0.5000)  4 Se 2.85
Se (0.0000, 0.0000, 0.5000)  2 Ta 2.68, 4 Te 2.85
Ta (0.0000, 0.0000, 0.0000)  4 N 2.02

Properties
**Size of the total moment**: 0.00 μB/cell
**Total energy**: -0.263 Ha/atom
**Formation energy without anion corrections**: 247.1 meV per atom
**Symmetry**: No. 123

LuVO4 | GGA-PBEsol | relaxed

Cell lengths 4.9327, 4.9327, 6.4488 Å; angles 112.49, 112.49, 90.00 degrees
With the nearest neighbours (Å) after each atom.
Sites, in units of the cell vectors:
Lu (0.5000, 0.5000, 0.0000)  8 O 2.27-2.30
Lu (0.7500, 0.2500, 0.5000)  8 O 2.27-2.30
V (0.0000, 0.0000, 0.0000)  4 O 1.73
V (0.2500, 0.7500, 0.5000)  4 O 1.73
O (0.3405, 0.2348, 0.1647)  1 V 1.73
O (0.1799, 0.0905, 0.6647)  1 V 1.73
O (0.4848, 0.5742, 0.6647)  1 V 1.73
O (0.8242, 0.9299, 0.1647)  1 V 1.73
O (0.4258, 0.8201, 0.3353)  1 V 1.73
O (0.7652, 0.1758, 0.8353)  1 V 1.73
O (0.0701, 0.6595, 0.8353)  1 V 1.73
O (0.9095, 0.5152, 0.3353)  1 V 1.73

Properties
**Size of the total moment**: 0.00 μB/cell
**Total energy**: -0.330 Ha/atom
**Formation energy without anion corrections**: -3048.9 meV per atom
**E above lowest polymorph**: 2.11 kJ per mole of atoms
**Symmetry**: No. 88

Cu3Sn4O12 | GGA-PBEsol | relaxed

Cell lengths 6.5812, 6.5812, 6.5812 Å; angles 109.47, 109.47, 109.47 degrees
With the nearest neighbours (Å) after each atom.
Sites, in units of the cell vectors:
Cu (0.5000, 0.5000, 0.0000)  4 O 1.87
Cu (0.5000, 0.0000, 0.5000)  4 O 1.87
Cu (0.0000, 0.5000, 0.5000)  4 O 1.87
Sn (0.0000, 0.5000, 0.0000)  6 O 2.07
Sn (0.0000, 0.0000, 0.5000)  6 O 2.07
Sn (0.5000, 0.0000, 0.0000)  6 O 2.07
Sn (0.5000, 0.5000, 0.5000)  6 O 2.07
O (0.6760, 0.8279, 0.5039)  1 Cu 1.87, 2 Sn 2.07
O (0.3240, 0.1721, 0.4961)  1 Cu 1.87, 2 Sn 2.07
O (0.3240, 0.8279, 0.1520)  1 Cu 1.87, 2 Sn 2.07
O (0.1520, 0.3240, 0.8279)  1 Cu 1.87, 2 Sn 2.07
O (0.1721, 0.4961, 0.3240)  1 Cu 1.87, 2 Sn 2.07
O (0.8279, 0.1520, 0.3240)  1 Cu 1.87, 2 Sn 2.07
O (0.5039, 0.6760, 0.8279)  1 Cu 1.87, 2 Sn 2.07
O (0.8279, 0.5039, 0.6760)  1 Cu 1.87, 2 Sn 2.07
O (0.6760, 0.1721, 0.8480)  1 Cu 1.87, 2 Sn 2.07
O (0.8480, 0.6760, 0.1721)  1 Cu 1.87, 2 Sn 2.07
O (0.1721, 0.8480, 0.6760)  1 Cu 1.87, 2 Sn 2.07
O (0.4961, 0.3240, 0.1721)  1 Cu 1.87, 2 Sn 2.07

Properties
**Size of the total moment**: 1.11 μB/cell
**Total energy**: -0.224 Ha/atom
**Formation energy without anion corrections**: -1189.1 meV per atom
**Symmetry**: No. 204

KOsRh2 | GGA-PBEsol | relaxed

Cell lengths 2.7098, 3.5086, 7.8562 Å; angles 90.00, 90.01, 90.00 degrees
With the nearest neighbours (Å) after each atom.
Sites, in units of the cell vectors:
K (0.5000, 0.5000, 0.0000)  2 K 2.71
Os (0.5000, 0.5000, 0.5000)  8 Rh 2.60, 2 Os 2.71
Rh (0.0001, 0.0000, 0.6724)  4 Os 2.60, 3 Rh 2.71
Rh (0.9999, 0.0000, 0.3276)  4 Os 2.60, 3 Rh 2.71

Properties
**Size of the total moment**: 0.00 μB/cell
**Total energy**: -0.251 Ha/atom
**E above lowest polymorph**: 0.00 kJ per mole of atoms
**Symmetry**: No. 47

CeAsO3 | GGA-PBEsol | relaxed

Cell lengths 8.0016, 9.2074, 8.3265 Å; angles 82.48, 90.00, 90.00 degrees
With the nearest neighbours (Å) after each atom.
Sites, in units of the cell vectors:
Ce (0.2556, 0.5220, 0.2209)  5 O 2.08-2.32
Ce (0.7556, 0.9780, 0.7791)  5 O 2.08-2.32
Ce (0.7444, 0.4780, 0.7791)  5 O 2.08-2.32
Ce (0.2444, 0.0220, 0.2209)  5 O 2.08-2.32
Ce (0.2177, 0.0180, 0.7336)  4 O 2.10-2.33
Ce (0.7177, 0.4820, 0.2664)  4 O 2.10-2.33
Ce (0.7823, 0.9820, 0.2664)  4 O 2.10-2.33
Ce (0.2823, 0.5180, 0.7336)  4 O 2.10-2.33
As (0.9771, 0.7139, 0.4811)  3 O 1.80-1.83
As (0.4771, 0.7861, 0.5189)  3 O 1.80-1.83
As (0.0229, 0.2861, 0.5189)  3 O 1.80-1.83
As (0.5229, 0.2139, 0.4811)  3 O 1.80-1.83
As (0.0304, 0.2944, 0.0541)  2 O 1.82-1.85
As (0.5304, 0.2056, 0.9459)  2 O 1.82-1.85
As (0.9696, 0.7056, 0.9459)  2 O 1.82-1.85
As (0.4696, 0.7944, 0.0541)  2 O 1.82-1.85
O (0.9889, 0.4431, 0.1786)  1 As 1.85
O (0.4889, 0.0569, 0.8214)  1 As 1.85
O (0.0111, 0.5569, 0.8214)  1 As 1.85
O (0.5111, 0.9431, 0.1786)  1 As 1.85
O (0.4423, 0.3857, 0.3796)  1 As 1.81
O (0.9423, 0.1143, 0.6204)  1 As 1.81
O (0.5577, 0.6143, 0.6204)  1 As 1.81
O (0.0577, 0.8857, 0.3796)  1 As 1.81
O (0.1613, 0.6004, 0.4580)  1 As 1.83
O (0.6613, 0.8996, 0.5420)  1 As 1.83
O (0.8387, 0.3996, 0.5420)  1 As 1.83
O (0.3387, 0.1004, 0.4580)  1 As 1.83
O (0.1795, 0.0481, 0.9765)  2 Ce 2.08-2.10
O (0.6795, 0.4519, 0.0235)  2 Ce 2.08-2.10
O (0.8205, 0.9519, 0.0235)  2 Ce 2.08-2.10
O (0.3205, 0.5481, 0.9765)  2 Ce 2.08-2.10
O (0.1571, 0.3045, 0.6885)  1 As 1.80
O (0.6571, 0.1955, 0.3115)  1 As 1.80
O (0.8429, 0.6955, 0.3115)  1 As 1.80
O (0.3429, 0.8045, 0.6885)  1 As 1.80
O (0.9926, 0.1462, 0.2178)  1 As 1.82
O (0.4926, 0.3538, 0.7822)  1 As 1.82
O (0.0074, 0.8538, 0.7822)  1 As 1.82
O (0.5074, 0.6462, 0.2178)  1 As 1.82

Properties
**Size of the total moment**: 1.18 μB/cell
**Total energy**: -0.283 Ha/atom
**Formation energy without anion corrections**: -2214.4 meV per atom
**Symmetry**: No. 14

CdAu2Cl | GGA-PBEsol | relaxed

Cell lengths 3.8400, 3.8400, 5.2517 Å; angles 90.00, 90.00, 90.00 degrees
With the nearest neighbours (Å) after each atom.
Sites, in units of the cell vectors:
Cl (0.0000, 0.0000, 0.5000)  4 Cd 2.72
Au (0.0000, 0.5000, 0.0000)  4 Au 2.72
Au (0.5000, 0.0000, 0.0000)  4 Au 2.72
Cd (0.5000, 0.5000, 0.5000)  4 Cl 2.72

Properties
**Size of the total moment**: 0.00 μB/cell
**Total energy**: -0.102 Ha/atom
**Formation energy without anion corrections**: -25.0 meV per atom
**E above lowest polymorph**: 0.00 kJ per mole of atoms
**Symmetry**: No. 123

KTePt2 | GGA-PBEsol | relaxed

Cell lengths 2.8808, 5.3977, 5.8955 Å; angles 116.97, 103.68, 90.99 degrees
With the nearest neighbours (Å) after each atom.
Sites, in units of the cell vectors:
K (0.5000, 0.5000, 0.0000)  2 K 2.88, 4 Pt 2.95, 4 Te 3.04-3.08
Pt (0.0000, 0.0000, 0.5000)  6 Pt 2.88-3.08, 2 K 2.95, 2 Te 2.95
Pt (0.5000, 0.5000, 0.5000)  6 Pt 2.88-3.08, 2 Te 2.95, 2 K 2.95
Te (0.0000, 0.0000, 0.0000)  2 Te 2.88, 4 Pt 2.95, 4 K 3.04-3.08

Properties
**Size of the total moment**: 0.00 μB/cell
**Total energy**: -0.162 Ha/atom
**Formation energy without anion corrections**: 241.9 meV per atom
**Symmetry**: No. 12

MnSiRh2 | GGA-PBEsol | relaxed

Cell lengths 2.7581, 3.6863, 5.1017 Å; angles 90.00, 90.00, 90.00 degrees
With the nearest neighbours (Å) after each atom.
Sites, in units of the cell vectors:
Mn (0.5000, 0.5000, 0.7720)  6 Rh 2.47-2.63, 4 Si 2.75, 2 Mn 2.76
Rh (0.0000, 0.0000, 0.9618)  2 Si 2.47-2.64, 4 Mn 2.50, 2 Rh 2.76
Rh (0.5000, 0.5000, 0.2877)  2 Mn 2.47-2.63, 4 Si 2.50, 2 Rh 2.76
Si (0.0000, 0.0000, 0.4784)  6 Rh 2.47-2.64, 4 Mn 2.75, 2 Si 2.76

Properties
**Size of the total moment**: 3.20 μB/cell
**Total energy**: -0.305 Ha/atom
**Formation energy without anion corrections**: -340.9 meV per atom
**Symmetry**: No. 25

KLi2La | GGA-PBEsol | relaxed

Cell lengths 5.6338, 5.6338, 5.6338 Å; angles 60.00, 60.00, 60.00 degrees
With the nearest neighbours (Å) after each atom.
Sites, in units of the cell vectors:
K (0.5000, 0.5000, 0.5000)  4 Li 3.45, 4 La 3.45
La (0.2500, 0.2500, 0.2500)  4 Li 3.45, 4 K 3.45
Li (0.0000, 0.0000, 0.0000)  4 La 3.45, 4 Li 3.45
Li (0.7500, 0.7500, 0.7500)  4 K 3.45, 4 Li 3.45

Properties
**Size of the total moment**: 0.01 μB/cell
**Total energy**: -0.078 Ha/atom
**Symmetry**: No. 216

CaYSe3 | GGA-PBEsol | relaxed

Cell lengths 5.1908, 5.1908, 5.1908 Å; angles 90.00, 90.00, 90.00 degrees
With the nearest neighbours (Å) after each atom.
Sites, in units of the cell vectors:
Y (0.5000, 0.5000, 0.5000)  12 Se 3.67
Ca (0.0000, 0.0000, 0.0000)  6 Se 2.60
Se (0.0000, 0.5000, 0.0000)  2 Ca 2.60
Se (0.0000, 0.0000, 0.5000)  2 Ca 2.60
Se (0.5000, 0.0000, 0.0000)  2 Ca 2.60

Properties
**Size of the total moment**: 0.00 μB/cell
**Total energy**: -0.176 Ha/atom
**Formation energy without anion corrections**: -680.9 meV per atom
**Symmetry**: No. 221

Mg2SbPb | GGA-PBEsol | relaxed

Cell lengths 4.2931, 4.2931, 6.1498 Å; angles 110.43, 110.43, 90.00 degrees
With the nearest neighbours (Å) after each atom.
Sites, in units of the cell vectors:
Pb (0.5000, 0.5000, 0.0000)  4 Mg 3.04
Sb (0.2500, 0.7500, 0.5000)  4 Mg 3.04
Mg (0.0000, 0.0000, 0.0000)  4 Pb 3.04
Mg (0.7500, 0.2500, 0.5000)  4 Sb 3.04

Properties
**Size of the total moment**: 0.00 μB/cell
**Total energy**: -0.115 Ha/atom
**Formation energy without anion corrections**: -121.9 meV per atom
**E above lowest polymorph**: 1.97 kJ per mole of atoms
**Symmetry**: No. 119

HfSbP2S | GGA-PBEsol | relaxed

Cell lengths 4.7378, 4.9826, 4.9826 Å; angles 90.00, 90.00, 90.00 degrees
With the nearest neighbours (Å) after each atom.
Sites, in units of the cell vectors:
Sb (0.5000, 0.5000, 0.5000)  8 P 3.44, 4 S 3.52
S (0.5000, 0.0000, 0.0000)  2 Hf 2.37
Hf (0.0000, 0.0000, 0.0000)  2 S 2.37, 4 P 2.49
P (0.0000, 0.0000, 0.5000)  2 Hf 2.49
P (0.0000, 0.5000, 0.0000)  2 Hf 2.49

Properties
**Size of the total moment**: 0.00 μB/cell
**Total energy**: -0.223 Ha/atom
**Formation energy without anion corrections**: 141.5 meV per atom
**Symmetry**: No. 123

Sn3BiTe4 | GGA-PBEsol | relaxed

Cell lengths 4.5751, 4.5751, 14.0304 Å; angles 80.62, 80.62, 60.00 degrees
With the nearest neighbours (Å) after each atom.
Sites, in units of the cell vectors:
Te (0.3754, 0.3754, 0.8738)  3 Bi 3.16, 3 Sn 3.17
Te (0.1249, 0.1249, 0.6254)  6 Sn 3.13-3.16
Te (0.6246, 0.6246, 0.1262)  3 Bi 3.16, 3 Sn 3.17
Te (0.8751, 0.8751, 0.3746)  6 Sn 3.13-3.16
Bi (0.0000, 0.0000, 0.0000)  6 Te 3.16
Sn (0.2490, 0.2490, 0.2529)  6 Te 3.13-3.17
Sn (0.5000, 0.5000, 0.5000)  6 Te 3.16
Sn (0.7510, 0.7510, 0.7471)  6 Te 3.13-3.17

Properties
**Size of the total moment**: 0.00 μB/cell
**Total energy**: -0.151 Ha/atom
**Formation energy without anion corrections**: -205.5 meV per atom
**Symmetry**: No. 166